Record 1
A plane-wave DFT calculation with PBE-GGA was carried out for crystalline Cd7SnHg12 at its relaxed geometry.

Calculated values
energy above the lowest structure with this stoichiometry = 0.070 eV/atom
E_form = 2.557 kcal/mol of atoms
density = 8.699 g cm⁻³

Unit cell a=9.365 b=9.365 c=9.365 alpha=109.47 beta=109.47 gamma=109.47
Sites, in units of the cell vectors:
Cd1 0.500 0.000 0.000
Hg1 0.273 0.848 0.121
Cd2 0.500 0.500 0.500
Cd3 0.500 0.000 0.500
Hg2 0.727 0.848 0.575
Hg3 0.121 0.273 0.848
Hg4 0.152 0.425 0.273
Cd4 0.000 0.000 0.500
Hg5 0.848 0.575 0.727
Hg6 0.575 0.727 0.848
Hg7 0.879 0.727 0.152
Hg8 0.425 0.273 0.152
Cd5 0.000 0.500 0.000
Hg9 0.727 0.152 0.879
Sn1 0.000 0.000 0.000
Hg10 0.848 0.121 0.273
Cd6 0.500 0.500 0.000
Hg11 0.273 0.152 0.425
Hg12 0.152 0.879 0.727
Cd7 0.000 0.500 0.500

=====

Record 2
A plane-wave DFT calculation with PBE-GGA was carried out for crystalline CdSnHg at its relaxed geometry.

Calculated values
E_form = 1.896 kcal/mol of atoms
density = 8.325 g cm⁻³

Unit cell a=4.975 b=4.697 c=8.756 alpha=83.93 beta=90.00 gamma=121.98
Sites, in units of the cell vectors:
Sn1 0.433 0.866 0.232
Hg1 0.308 0.616 0.586
Sn2 0.814 0.628 0.075
Hg2 0.939 0.878 0.722
Cd1 0.547 0.093 0.859
Cd2 0.700 0.400 0.448

=====

Record 3
A plane-wave DFT calculation with PBE-GGA was carried out for crystalline Cd3SnHg8 at its relaxed geometry.

Calculated values
E_form = 1.267 kcal/mol of atoms
density = 10.183 g cm⁻³

Unit cell a=9.187 b=8.365 c=7.642 alpha=52.70 beta=105.76 gamma=132.32
Sites, in units of the cell vectors:
Cd1 0.754 0.508 0.746
Sn1 0.000 0.000 0.000
Hg1 0.641 0.000 0.903
Hg2 0.360 0.000 0.097
Hg3 0.849 0.000 0.595
Hg4 0.100 0.504 0.845
Cd2 0.500 0.000 0.500
Hg5 0.404 0.505 0.651
Hg6 0.597 0.496 0.348
Cd3 0.246 0.492 0.254
Hg7 0.151 0.000 0.405
Hg8 0.899 0.495 0.156

=====

Record 4
A plane-wave DFT calculation with PBE-GGA was carried out for crystalline Cd4Sn2Hg5 at its relaxed geometry.

Calculated values
energy above the lowest structure with this stoichiometry = 0.000 eV/atom
E_form = 1.034 kcal/mol of atoms
density = 10.154 g cm⁻³

Unit cell a=3.233 b=7.518 c=11.610 alpha=98.36 beta=98.00 gamma=90.00
Sites, in units of the cell vectors:
Hg1 0.136 0.100 0.272
Hg2 0.864 0.900 0.728
Cd1 0.043 0.352 0.087
Hg3 0.500 0.000 0.000
Cd2 0.957 0.648 0.913
Cd3 0.685 0.450 0.370
Sn1 0.409 0.287 0.818
Hg4 0.775 0.183 0.551
Cd4 0.315 0.550 0.630
Hg5 0.225 0.817 0.449
Sn2 0.591 0.713 0.182

=====

Record 5
A plane-wave DFT calculation with PBE-GGA was carried out for crystalline CdSn4Hg at its relaxed geometry.

Calculated values
E_form = 4.789 kcal/mol of atoms
density = 7.520 g cm⁻³

Unit cell a=6.266 b=6.266 c=6.266 alpha=60.00 beta=60.00 gamma=60.00
Sites, in units of the cell vectors:
Sn1 0.625 0.125 0.625
Sn2 0.125 0.625 0.625
Sn3 0.625 0.625 0.125
Hg1 0.000 0.000 0.000
Cd1 0.250 0.250 0.250
Sn4 0.625 0.625 0.625

=====

Record 6
A plane-wave DFT calculation with PBE-GGA was carried out for crystalline Cd2SnHg3 at its relaxed geometry.

Calculated values
energy above the lowest structure with this stoichiometry = 0.028 eV/atom
E_form = 1.899 kcal/mol of atoms
density = 9.952 g cm⁻³

Unit cell a=4.996 b=7.988 c=7.988 alpha=98.32 beta=90.00 gamma=90.00
Sites, in units of the cell vectors:
Hg1 0.493 0.606 0.084
Hg2 0.493 0.084 0.606
Cd1 0.493 0.465 0.710
Hg3 0.993 0.394 0.916
Cd2 0.493 0.710 0.465
Sn1 0.493 0.267 0.267
Hg4 0.993 0.916 0.394
Hg5 0.993 0.081 0.081
Cd3 0.993 0.535 0.290
Sn2 0.993 0.733 0.733
Cd4 0.993 0.290 0.535
Hg6 0.493 0.919 0.919

=====

Record 7
A plane-wave DFT calculation with PBE-GGA was carried out for crystalline Cd15SnHg4 at its relaxed geometry.

Calculated values
E_form = 0.560 kcal/mol of atoms
density = 9.365 g cm⁻³

Unit cell a=4.527 b=4.527 c=22.553 alpha=90.00 beta=90.00 gamma=90.00
Sites, in units of the cell vectors:
Cd1 0.000 0.500 0.103
Cd2 0.000 0.500 0.302
Cd3 0.500 0.000 0.302
Cd4 0.000 0.500 0.500
Cd5 0.500 0.500 0.202
Sn1 0.000 0.000 0.000
Cd6 0.500 0.500 0.599
Hg1 0.000 0.000 0.598
Cd7 0.500 0.000 0.500
Hg2 0.000 0.000 0.203
Cd8 0.500 0.500 0.798
Cd9 0.000 0.500 0.897
Hg3 0.000 0.000 0.797
Hg4 0.000 0.000 0.402
Cd10 0.500 0.000 0.698
Cd11 0.500 0.000 0.103
Cd12 0.500 0.500 0.000
Cd13 0.500 0.500 0.401
Cd14 0.500 0.000 0.897
Cd15 0.000 0.500 0.698

=====

Record 8
A plane-wave DFT calculation with PBE-GGA was carried out for crystalline Cd2SnHg at its relaxed geometry.

Calculated values
energy above the lowest structure with this stoichiometry = 0.041 eV/atom
E_form = 1.767 kcal/mol of atoms
density = 8.743 g cm⁻³

Unit cell a=4.397 b=4.397 c=11.132 alpha=78.61 beta=78.61 gamma=90.00
Sites, in units of the cell vectors:
Sn1 0.250 0.750 0.500
Cd1 0.375 0.370 0.750
Sn2 0.500 0.500 0.000
Cd2 0.875 0.880 0.750
Hg1 0.750 0.250 0.500
Cd3 0.630 0.125 0.250
Cd4 0.120 0.625 0.250
Hg2 0.000 0.000 0.000

=====

Record 9
A plane-wave DFT calculation with PBE-GGA was carried out for crystalline Cd8SnHg2 at its relaxed geometry.

Calculated values
energy above the lowest structure with this stoichiometry = 0.028 eV/atom
E_form = 1.238 kcal/mol of atoms
density = 8.633 g cm⁻³

Unit cell a=5.818 b=8.738 c=8.073 alpha=57.23 beta=70.66 gamma=52.28
Sites, in units of the cell vectors:
Cd1 0.103 0.680 0.226
Cd2 0.500 0.227 0.546
Hg1 0.000 0.307 0.386
Cd3 0.103 0.906 0.774
Sn1 0.500 0.000 0.000
Cd4 0.332 0.403 0.000
Cd5 0.897 0.094 0.226
Cd6 0.500 0.773 0.454
Cd7 0.668 0.597 0.000
Cd8 0.897 0.320 0.774
Hg2 0.000 0.693 0.614

=====

Record 10
A plane-wave DFT calculation with PBE-GGA was carried out for crystalline Cd10SnHg6 at its relaxed geometry.

Calculated values
E_form = 1.058 kcal/mol of atoms
density = 9.731 g cm⁻³

Unit cell a=6.624 b=8.530 c=8.530 alpha=120.00 beta=90.00 gamma=90.00
Sites, in units of the cell vectors:
Cd1 0.000 0.667 0.333
Cd2 0.500 0.667 0.333
Hg1 0.696 0.000 0.636
Sn1 0.500 0.000 0.000
Hg2 0.304 0.364 0.000
Cd3 0.169 0.711 0.000
Cd4 0.500 0.333 0.667
Cd5 0.000 0.333 0.667
Cd6 0.831 0.711 0.711
Cd7 0.169 0.289 0.289
Hg3 0.696 0.364 0.364
Cd8 0.169 0.000 0.711
Cd9 0.831 0.289 0.000
Hg4 0.304 0.000 0.364
Hg5 0.304 0.636 0.636
Cd10 0.831 0.000 0.289
Hg6 0.696 0.636 0.000

=====

Record 11
A plane-wave DFT calculation with PBE-GGA was carried out for crystalline Cd10SnHg2 at its relaxed geometry.

Calculated values
E_form = 1.855 kcal/mol of atoms
density = 8.681 g cm⁻³

Unit cell a=6.336 b=7.767 c=7.683 alpha=80.32 beta=65.65 gamma=65.93
Sites, in units of the cell vectors:
Cd1 0.000 0.000 0.500
Cd2 0.501 0.215 0.784
Cd3 0.348 0.654 0.651
Cd4 0.998 0.654 0.349
Cd5 0.716 0.785 0.784
Cd6 0.002 0.346 0.651
Cd7 0.652 0.346 0.349
Sn1 0.000 0.000 0.000
Cd8 0.284 0.215 0.216
Cd9 0.499 0.785 0.216
Hg1 0.500 0.500 0.000
Cd10 0.500 0.000 0.500
Hg2 0.000 0.500 0.000

=====

Record 12
A plane-wave DFT calculation with PBE-GGA was carried out for crystalline Cd9Sn2Hg14 at its relaxed geometry.

Calculated values
E_form = 2.026 kcal/mol of atoms
density = 9.437 g cm⁻³

Unit cell a=7.329 b=7.329 c=15.347 alpha=90.00 beta=90.00 gamma=120.00
Sites, in units of the cell vectors:
Cd1 0.755 0.049 0.665
Hg1 0.922 0.588 0.435
Sn1 0.333 0.667 0.229
Cd2 0.049 0.294 0.335
Hg2 0.078 0.412 0.565
Cd3 0.294 0.245 0.665
Hg3 0.412 0.334 0.435
Hg4 0.581 0.931 0.879
Hg5 0.931 0.350 0.121
Cd4 0.706 0.755 0.335
Hg6 0.000 0.000 0.811
Cd5 0.000 0.000 0.000
Cd6 0.951 0.706 0.665
Hg7 0.069 0.650 0.879
Cd7 0.667 0.333 0.971
Hg8 0.666 0.078 0.435
Hg9 0.000 0.000 0.189
Hg10 0.334 0.922 0.565
Hg11 0.350 0.419 0.879
Hg12 0.419 0.069 0.121
Hg13 0.588 0.666 0.565
Sn2 0.667 0.333 0.771
Cd8 0.333 0.667 0.029
Cd9 0.245 0.951 0.335
Hg14 0.650 0.581 0.121

=====

Record 13
A plane-wave DFT calculation with PBE-GGA was carried out for crystalline Cd3SnHg at its relaxed geometry.

Calculated values
energy above the lowest structure with this stoichiometry = 0.000 eV/atom
E_form = 1.181 kcal/mol of atoms
density = 8.636 g cm⁻³

Unit cell a=4.454 b=7.164 c=8.630 alpha=106.55 beta=106.24 gamma=89.94
Sites, in units of the cell vectors:
Sn1 0.122 0.191 0.262
Hg1 0.414 0.536 0.820
Cd1 0.232 0.649 0.457
Cd2 0.323 0.089 0.644
Cd3 0.768 0.351 0.543
Hg2 0.586 0.464 0.180
Cd4 0.039 0.742 0.090
Sn2 0.878 0.809 0.738
Cd5 0.961 0.258 0.910
Cd6 0.677 0.911 0.356

=====

Record 14
A plane-wave DFT calculation with PBE-GGA was carried out for crystalline Cd9Sn2Hg at its relaxed geometry.

Calculated values
E_form = 1.556 kcal/mol of atoms
density = 8.049 g cm⁻³

Unit cell a=3.364 b=10.132 c=10.132 alpha=120.00 beta=90.00 gamma=90.00
Sites, in units of the cell vectors:
Cd1 0.500 0.830 0.170
Sn1 0.000 0.667 0.333
Hg1 0.000 0.000 0.000
Cd2 0.000 0.000 0.500
Cd3 0.500 0.340 0.170
Sn2 0.000 0.333 0.667
Cd4 0.500 0.830 0.660
Cd5 0.000 0.500 0.000
Cd6 0.500 0.170 0.830
Cd7 0.500 0.660 0.830
Cd8 0.500 0.170 0.340
Cd9 0.000 0.500 0.500

=====

Record 15
A plane-wave DFT calculation with PBE-GGA was carried out for crystalline CdSnHg4 at its relaxed geometry.

Calculated values
energy above the lowest structure with this stoichiometry = 0.069 eV/atom
E_form = 2.974 kcal/mol of atoms
density = 8.323 g cm⁻³

Unit cell a=4.396 b=6.849 c=6.849 alpha=90.31 beta=90.00 gamma=90.00
Sites, in units of the cell vectors:
Hg1 0.500 0.294 0.706
Sn1 0.000 0.500 0.500
Hg2 0.000 0.800 0.800
Cd1 0.500 0.000 0.000
Hg3 0.500 0.706 0.294
Hg4 0.000 0.200 0.200

=====

Record 16
A plane-wave DFT calculation with PBE-GGA was carried out for crystalline Cd12Sn5Hg3 at its relaxed geometry.

Calculated values
E_form = 3.933 kcal/mol of atoms
density = 6.975 g cm⁻³

Unit cell a=14.655 b=14.655 c=14.655 alpha=109.47 beta=109.47 gamma=109.47
Sites, in units of the cell vectors:
Cd1 0.428 0.065 0.332
Cd2 0.596 0.863 0.428
Cd3 0.572 0.935 0.668
Hg1 0.375 0.625 0.250
Cd4 0.168 0.096 0.733
Cd5 0.733 0.596 0.168
Cd6 0.767 0.435 0.363
Cd7 0.404 0.267 0.332
Cd8 0.096 0.928 0.363
Sn1 0.750 0.625 0.375
Hg2 0.125 0.250 0.875
Sn2 0.500 0.000 0.500
Cd9 0.233 0.668 0.096
Cd10 0.767 0.332 0.904
Hg3 0.125 0.875 0.750
Sn3 0.875 0.250 0.625
Cd11 0.565 0.332 0.928
Hg4 0.750 0.875 0.625
Hg5 0.750 0.375 0.125
Sn4 0.500 0.500 0.500
Hg6 0.625 0.375 0.750
Sn5 0.125 0.750 0.375
Cd12 0.435 0.668 0.072
Hg7 0.875 0.750 0.125
Cd13 0.072 0.904 0.137
Cd14 0.928 0.832 0.565
Cd15 0.935 0.363 0.267
Cd16 0.332 0.767 0.404
Sn6 0.750 0.125 0.875
Hg8 0.375 0.750 0.625
Cd17 0.637 0.572 0.904
Cd18 0.233 0.565 0.637
Sn7 0.625 0.875 0.250
Hg9 0.250 0.125 0.375
Sn8 0.250 0.875 0.125
Cd19 0.363 0.428 0.096
Hg10 0.625 0.250 0.375
Hg11 0.875 0.125 0.250
Cd20 0.565 0.233 0.137
Sn9 0.000 0.500 0.500
Cd21 0.668 0.233 0.596
Cd22 0.267 0.863 0.935
Sn10 0.000 0.500 0.000
Hg12 0.250 0.625 0.875
Sn11 0.375 0.125 0.750
Cd23 0.832 0.928 0.065
Cd24 0.935 0.572 0.168
Cd25 0.863 0.267 0.435
Sn12 0.000 0.000 0.500
Cd26 0.435 0.767 0.863
Sn13 0.500 0.000 0.000
Cd27 0.832 0.904 0.267
Cd28 0.928 0.096 0.863
Cd29 0.596 0.733 0.668
Cd30 0.904 0.072 0.637
Cd31 0.863 0.596 0.928
Cd32 0.332 0.565 0.428
Cd33 0.428 0.363 0.596
Cd34 0.637 0.065 0.233
Cd35 0.363 0.935 0.767
Cd36 0.668 0.435 0.572
Sn14 0.625 0.750 0.875
Sn15 0.875 0.625 0.750
Sn16 0.375 0.250 0.125
Cd37 0.404 0.137 0.572
Cd38 0.733 0.137 0.065
Cd39 0.137 0.404 0.072
Cd40 0.168 0.072 0.935
Cd41 0.572 0.637 0.404
Cd42 0.065 0.428 0.832
Sn17 0.500 0.500 0.000
Cd43 0.096 0.168 0.233
Sn18 0.125 0.375 0.250
Cd44 0.137 0.733 0.565
Cd45 0.904 0.832 0.767
Cd46 0.072 0.168 0.435
Cd47 0.267 0.404 0.832
Sn19 0.250 0.375 0.625
Cd48 0.065 0.637 0.733
Sn20 0.000 0.000 0.000

=====

Record 17
A plane-wave DFT calculation with PBE-GGA was carried out for crystalline Cd6SnHg8 at its relaxed geometry.

Calculated values
energy above the lowest structure with this stoichiometry = 0.010 eV/atom
E_form = 1.232 kcal/mol of atoms
density = 10.064 g cm⁻³

Unit cell a=7.864 b=7.622 c=7.622 alpha=120.00 beta=90.00 gamma=90.00
Sites, in units of the cell vectors:
Hg1 0.887 0.311 0.996
Cd1 0.365 0.097 0.416
Hg2 0.113 0.315 0.311
Cd2 0.365 0.584 0.680
Cd3 0.635 0.416 0.320
Hg3 0.887 0.004 0.315
Hg4 0.113 0.689 0.004
Hg5 0.692 0.333 0.667
Hg6 0.113 0.996 0.685
Sn1 0.500 0.000 0.000
Hg7 0.308 0.667 0.333
Cd4 0.635 0.680 0.097
Cd5 0.365 0.320 0.903
Cd6 0.635 0.903 0.584
Hg8 0.887 0.685 0.689